# 1
EuY2Er | PBE | relaxed

- Energy above the most stable polymorph in this dataset: 60 meV per atom
- D(E_F): 7.88 states/eV/f.u.
- DFT formation energy: 0.159 eV/atom

Cell: 8.1355 8.1355 8.1355 Å, 90.00 90.00 90.00°
Space group Fm-3m (No. 225)
Asymmetric unit:
1 Eu 0.0000 0.0000 0.0000 [4 per cell]
2 Y 0.2500 0.2500 0.2500 [8 per cell]
3 Er 0.0000 0.0000 0.5000 [4 per cell]

***

# 2
EuYEr | PBE | relaxed

- Energy above the most stable polymorph in this dataset: 4 meV per atom
- D(E_F): 4.21 states/eV/f.u.
- DFT formation energy: 0.065 eV/atom

Cell: 3.6419 3.6419 15.4166 Å, 90.00 90.00 90.00°
Space group I4mm (No. 107)
Asymmetric unit:
1 Eu 0.0000 0.0000 0.0000 [2 per cell]
2 Y 0.0000 0.0000 0.6768 [2 per cell]
3 Er 0.0000 0.0000 0.3269 [2 per cell]